[1]
In6PbI8 PBE relaxed; density = 4.852 g cm⁻³; calculated total energy = -2.65 eV/atom; total moment = 0.00 μB per cell
1.0
5.282 3.050 6.768
-5.282 3.050 6.768
0.000 -6.099 6.768
In Pb I
6 1 8
direct
0.032 0.798 0.458 In
0.202 0.542 0.968 In
0.458 0.032 0.798 In
0.542 0.968 0.202 In
0.798 0.458 0.032 In
0.968 0.202 0.542 In
0.500 0.500 0.500 Pb
0.160 0.404 0.667 I
0.169 0.169 0.169 I
0.333 0.840 0.596 I
0.404 0.667 0.160 I
0.596 0.333 0.840 I
0.667 0.160 0.404 I
0.831 0.831 0.831 I
0.840 0.596 0.333 I

***

[2]
In2PbI4 PBE relaxed; density = 5.108 g cm⁻³; energy above the lowest structure with this stoichiometry = 0 meV/atom; calculated total energy = -2.72 eV/atom; total moment = 0.00 μB per cell
1.0
15.635 0.000 0.000
0.000 4.683 0.000
-5.708 0.000 8.387
In Pb I
4 2 8
direct
0.113 0.000 0.202 In
0.387 0.500 0.798 In
0.613 0.500 0.202 In
0.887 0.000 0.798 In
0.000 0.500 0.500 Pb
0.500 0.000 0.500 Pb
0.063 0.500 0.862 I
0.170 0.000 0.585 I
0.330 0.500 0.415 I
0.437 0.000 0.138 I
0.563 0.000 0.862 I
0.670 0.500 0.585 I
0.830 0.000 0.415 I
0.937 0.500 0.138 I

***

[3]
In2Pb3I8 PBE relaxed; density = 4.949 g cm⁻³; calculated total energy = -2.81 eV/atom; total moment = 0.00 μB per cell
1.0
8.668 -4.684 0.000
8.668 4.684 0.000
-2.557 0.000 7.713
In Pb I
2 3 8
direct
0.241 0.241 0.163 In
0.759 0.759 0.837 In
0.240 0.760 0.500 Pb
0.500 0.500 0.000 Pb
0.760 0.240 0.500 Pb
0.117 0.117 0.431 I
0.144 0.627 0.095 I
0.373 0.856 0.905 I
0.386 0.386 0.593 I
0.614 0.614 0.407 I
0.627 0.144 0.095 I
0.856 0.373 0.905 I
0.883 0.883 0.569 I

***

[4]
In2PbI PBE relaxed; density = 6.667 g cm⁻³; energy above the lowest structure with this stoichiometry = 48 meV/atom; calculated total energy = -2.70 eV/atom; total moment = 0.00 μB per cell
1.0
4.601 0.000 0.000
-2.301 3.985 0.000
0.000 0.000 22.974
In Pb I
6 3 3
direct
0.000 0.000 0.236 In
0.000 0.000 0.764 In
0.333 0.667 0.431 In
0.333 0.667 0.903 In
0.667 0.333 0.097 In
0.667 0.333 0.569 In
0.000 0.000 0.500 Pb
0.333 0.667 0.167 Pb
0.667 0.333 0.833 Pb
0.000 0.000 0.000 I
0.333 0.667 0.667 I
0.667 0.333 0.333 I

***

[5]
In5Pb3I12 PBE relaxed; density = 4.822 g cm⁻³; energy above the lowest structure with this stoichiometry = 137 meV/atom; calculated total energy = -2.54 eV/atom; total moment = 0.00 μB per cell
1.0
-9.783 9.783 9.783
9.783 -9.783 9.783
9.783 9.783 -9.783
In Pb I
20 12 48
direct
0.000 0.000 0.000 In
0.000 0.000 0.500 In
0.000 0.500 0.000 In
0.000 0.500 0.500 In
0.125 0.750 0.875 In
0.125 0.875 0.250 In
0.250 0.125 0.875 In
0.250 0.625 0.375 In
0.375 0.250 0.625 In
0.375 0.625 0.750 In
0.500 0.000 0.000 In
0.500 0.000 0.500 In
0.500 0.500 0.000 In
0.500 0.500 0.500 In
0.625 0.375 0.250 In
0.625 0.750 0.375 In
0.750 0.375 0.625 In
0.750 0.875 0.125 In
0.875 0.125 0.750 In
0.875 0.250 0.125 In
0.125 0.250 0.375 Pb
0.125 0.375 0.750 Pb
0.250 0.375 0.125 Pb
0.250 0.875 0.625 Pb
0.375 0.125 0.250 Pb
0.375 0.750 0.125 Pb
0.625 0.250 0.875 Pb
0.625 0.875 0.750 Pb
0.750 0.125 0.375 Pb
0.750 0.625 0.875 Pb
0.875 0.625 0.250 Pb
0.875 0.750 0.625 Pb
0.058 0.231 0.128 I
0.058 0.327 0.930 I
0.070 0.628 0.397 I
0.070 0.942 0.673 I
0.103 0.731 0.673 I
0.103 0.872 0.430 I
0.128 0.058 0.231 I
0.128 0.570 0.897 I
0.173 0.231 0.603 I
0.173 0.442 0.570 I
0.231 0.128 0.058 I
0.231 0.603 0.173 I
0.269 0.327 0.897 I
0.269 0.442 0.372 I
0.327 0.897 0.269 I
0.327 0.930 0.058 I
0.372 0.269 0.442 I
0.372 0.603 0.930 I
0.397 0.070 0.628 I
0.397 0.827 0.769 I
0.430 0.103 0.872 I
0.430 0.827 0.558 I
0.442 0.372 0.269 I
0.442 0.570 0.173 I
0.558 0.430 0.827 I
0.558 0.628 0.731 I
0.570 0.173 0.442 I
0.570 0.897 0.128 I
0.603 0.173 0.231 I
0.603 0.930 0.372 I
0.628 0.397 0.070 I
0.628 0.731 0.558 I
0.673 0.070 0.942 I
0.673 0.103 0.731 I
0.731 0.558 0.628 I
0.731 0.673 0.103 I
0.769 0.397 0.827 I
0.769 0.872 0.942 I
0.827 0.558 0.430 I
0.827 0.769 0.397 I
0.872 0.430 0.103 I
0.872 0.942 0.769 I
0.897 0.128 0.570 I
0.897 0.269 0.327 I
0.930 0.058 0.327 I
0.930 0.372 0.603 I
0.942 0.673 0.070 I
0.942 0.769 0.872 I

***

[6]
InPbI3 PBE relaxed; density = 4.649 g cm⁻³; calculated total energy = -2.64 eV/atom; total moment = 0.00 μB per cell
1.0
6.308 0.000 0.000
0.000 6.308 0.000
0.000 0.000 6.308
In Pb I
1 1 3
direct
0.000 0.000 0.000 In
0.500 0.500 0.500 Pb
0.000 0.500 0.500 I
0.500 0.000 0.500 I
0.500 0.500 0.000 I

***

[7]
InPbI5 PBE relaxed; density = 4.274 g cm⁻³; calculated total energy = -2.54 eV/atom; total moment = 0.00 μB per cell
1.0
6.062 -5.914 0.000
6.062 5.914 0.000
-5.573 0.000 10.366
In Pb I
2 2 10
direct
0.108 0.892 0.750 In
0.892 0.108 0.250 In
0.500 0.500 0.000 Pb
0.500 0.500 0.500 Pb
0.148 0.244 0.842 I
0.213 0.764 0.540 I
0.236 0.787 0.960 I
0.244 0.148 0.342 I
0.401 0.599 0.250 I
0.599 0.401 0.750 I
0.756 0.852 0.658 I
0.764 0.213 0.040 I
0.787 0.236 0.460 I
0.852 0.756 0.158 I

***

[8]
In4PbI7 PBE relaxed; density = 5.064 g cm⁻³; calculated total energy = -2.60 eV/atom; total moment = 0.00 μB per cell
1.0
7.695 -2.332 0.000
7.695 2.332 0.000
-3.407 0.000 14.205
In Pb I
4 1 7
direct
0.000 0.000 0.000 In
0.186 0.186 0.762 In
0.565 0.565 0.398 In
0.873 0.873 0.581 In
0.760 0.760 0.160 Pb
0.137 0.137 0.225 I
0.226 0.226 0.533 I
0.385 0.385 0.105 I
0.521 0.521 0.624 I
0.641 0.641 0.946 I
0.853 0.853 0.786 I
0.899 0.899 0.371 I

***

[9]
InPbI3 PBE relaxed; density = 5.188 g cm⁻³; calculated total energy = -2.78 eV/atom; total moment = 0.00 μB per cell
1.0
4.645 0.000 0.000
-2.321 7.919 0.000
-0.005 -3.516 12.231
In Pb I
2 2 6
direct
0.024 0.048 0.362 In
0.976 0.952 0.638 In
0.244 0.490 0.168 Pb
0.756 0.510 0.832 Pb
0.132 0.264 0.898 I
0.372 0.744 0.406 I
0.382 0.763 0.781 I
0.618 0.237 0.219 I
0.628 0.256 0.594 I
0.868 0.736 0.102 I

***

[10]
InPbI6 PBE relaxed; density = 5.290 g cm⁻³; calculated total energy = -2.31 eV/atom; total moment = 0.00 μB per cell
1.0
7.625 0.000 0.000
3.808 6.612 0.000
3.805 2.190 6.746
In Pb I
1 1 6
direct
0.000 0.000 0.000 In
0.500 0.500 0.500 Pb
0.054 0.770 0.759 I
0.231 0.584 0.240 I
0.416 0.055 0.760 I
0.584 0.945 0.240 I
0.769 0.416 0.760 I
0.946 0.230 0.241 I

***

[11]
In2Pb2I PBE relaxed; density = 7.995 g cm⁻³; energy above the lowest structure with this stoichiometry = 59 meV/atom; calculated total energy = -2.86 eV/atom; total moment = 0.00 μB per cell
1.0
9.172 0.000 0.000
0.000 9.172 0.000
0.000 0.000 3.806
In Pb I
4 4 2
direct
0.129 0.371 0.000 In
0.371 0.871 0.000 In
0.629 0.129 0.000 In
0.871 0.629 0.000 In
0.168 0.668 0.500 Pb
0.332 0.168 0.500 Pb
0.668 0.832 0.500 Pb
0.832 0.332 0.500 Pb
0.000 0.000 0.000 I
0.500 0.500 0.000 I

***

[12]
In6PbI12 PBE relaxed; density = 4.773 g cm⁻³; calculated total energy = -2.40 eV/atom; total moment = 0.00 μB per cell
1.0
5.681 3.280 7.529
-5.681 3.280 7.529
0.000 -6.559 7.529
In Pb I
6 1 12
direct
0.032 0.671 0.798 In
0.202 0.968 0.329 In
0.329 0.202 0.968 In
0.671 0.798 0.032 In
0.798 0.032 0.671 In
0.968 0.329 0.202 In
0.500 0.500 0.500 Pb
0.027 0.336 0.864 I
0.136 0.973 0.664 I
0.161 0.641 0.469 I
0.336 0.864 0.027 I
0.359 0.531 0.839 I
0.469 0.161 0.641 I
0.531 0.839 0.359 I
0.641 0.469 0.161 I
0.664 0.136 0.973 I
0.839 0.359 0.531 I
0.864 0.027 0.336 I
0.973 0.664 0.136 I